Here is an optimized crystal structure of SmDyFe from the Open Quantum Materials Database. Energies are from PBE. Values from VASP.

Cell and atoms, written as Quantum ESPRESSO input:
```
&SYSTEM
  ibrav = 0, nat = 3, ntyp = 3
/
ATOMIC_SPECIES
Dy 162.50 Dy.upf
Sm 150.36 Sm.upf
Fe 55.84 Fe.upf
CELL_PARAMETERS angstrom
-4.533 -0.219 1.248
-3.197 2.591 -2.283
-3.124 -2.082 -2.839
ATOMIC_POSITIONS angstrom
Dy -2.714 0.073 -0.969
Sm -8.141 0.218 -2.906
Fe 0.000 0.000 0.000
```

Results
**Total moment**: 0.26 μB/f.u.
**Formation enthalpy at 0 K**: 0.68 eV per formula unit

=====

Here is an optimized crystal structure of Y4Zr2In3C3 from the Open Quantum Materials Database. Energies are from PBE. Values from VASP.

Cell and atoms, written as Quantum ESPRESSO input:
```
&SYSTEM
  ibrav = 0, nat = 24, ntyp = 4
/
ATOMIC_SPECIES
In 114.82 In.upf
C 12.01 C.upf
Y 88.91 Y.upf
Zr 91.22 Zr.upf
CELL_PARAMETERS angstrom
5.302 -3.066 0.000
5.302 3.066 0.000
-3.619 0.000 15.708
ATOMIC_POSITIONS angstrom
In 2.588 -2.294 11.781
C 4.489 -1.411 0.000
C 6.116 1.411 0.000
Y 7.979 0.532 1.412
In 4.398 2.294 3.927
Zr 4.413 0.529 6.684
In 1.044 0.388 11.793
Zr 2.573 -0.529 9.024
C 2.651 1.533 0.000
Y 6.105 -0.477 14.299
C 2.679 1.411 7.854
C 0.842 -1.533 7.854
Y 0.881 0.477 1.410
Zr 4.382 0.529 1.170
C 4.307 -1.411 7.854
Y 7.915 0.477 6.444
Zr 2.604 -0.529 14.538
Y 0.816 0.532 6.443
Y -0.929 -0.477 9.264
In 2.853 -0.388 3.939
Y 6.170 -0.532 9.266
Y -0.993 -0.532 14.297
In 5.942 -0.388 3.915
In 4.133 0.388 11.770
```

Results
**Total moment**: 0.01 μB/f.u.
**E**: -7.08 eV per atom

=====

Here is an optimized crystal structure of SmGaGe from the Open Quantum Materials Database. Energies are from PBE. Values from VASP.

Cell and atoms, written as Quantum ESPRESSO input:
```
&SYSTEM
  ibrav = 0, nat = 3, ntyp = 3
/
ATOMIC_SPECIES
Ge 72.64 Ge.upf
Ga 69.72 Ga.upf
Sm 150.36 Sm.upf
CELL_PARAMETERS angstrom
-0.630 4.095 -0.708
-0.612 -2.786 -3.088
-4.154 -0.430 1.211
ATOMIC_POSITIONS angstrom
Ge -0.990 1.764 -1.395
Ga -1.657 -0.600 -1.992
Sm -2.750 -0.285 0.801
```

Results
**Total moment**: 0.00 μB/f.u.
**E**: -4.81 eV per atom